1.
Compound: Pa2NO3
Source: the Alexandria database
Functional: PBE-GGA
Structure: relaxed

Calculated values
**Energy**: -239.66 eV/cell
**Formation energy (no corrections)**: -2954 meV/atom
**Density of states at the Fermi level**: 4.974 states/eV/f.u.
**Magnetic moment**: 4.19 Bohr magnetons per cell

Cell: 5.513 11.437 5.319 Å, 90.00 90.00 90.00°
Space group Ibam (No. 72)
Unique sites:
Pa1 0.227 0.115 0.000
N1 0.000 0.000 0.250
O1 0.000 0.500 0.250
O2 0.148 0.205 0.500

***

2.
Compound: SrCo2Sb
Source: the Alexandria database
Functional: PBE-GGA
Structure: relaxed

Calculated values
**Energy**: -19.29 eV/cell
**Formation energy (no corrections)**: 183 meV/atom
**Density of states at the Fermi level**: 4.371 states/eV/f.u.
**Magnetic moment**: 3.06 Bohr magnetons per cell

Cell: 3.299 3.299 7.416 Å, 90.00 90.00 90.00°
Space group P4mm (No. 99)
Unique sites:
Sr1 0.000 0.000 0.000
Co1 0.000 0.000 0.426
Co2 0.500 0.500 0.298
Sb1 0.500 0.500 0.642